This record from Alexandria via LeMat-Bulk describes crystalline Cs2SbSe4 at its relaxed geometry. The functional is PBE-GGA.

Results
* N(E_F): 5.9 states/eV per cell
* energy: -3.413 eV per atom
* total magnetization: 0.0 μB per cell
* uncorrected formation energy: -0.590 eV/atom

The structure in POSCAR format:
```
Cs2SbSe4
1.0
7.846 0.000 0.000
0.000 6.251 0.000
-1.305 0.000 13.733
Cs Sb Se
4 2 8
Direct
0.222 0.250 0.440
0.238 0.250 0.920
0.762 0.750 0.080
0.778 0.750 0.560
0.292 0.750 0.244
0.708 0.250 0.756
0.012 0.750 0.328
0.247 0.750 0.062
0.397 0.058 0.687
0.397 0.442 0.687
0.603 0.558 0.313
0.603 0.942 0.313
0.753 0.250 0.938
0.988 0.250 0.672
```